# PaCdSb2

An optimized crystal structure of PaCdSb2 (GGA-PBE, the Alexandria database).

## Properties
E_tot: -5.0398 eV/atom
ΔE_f (raw): -0.3759 eV/atom
distance to the lowest polymorph of the same formula: 0 meV/atom

Cell lengths 4.083, 4.932, 4.932 Å; angles 90.00, 90.00, 90.00 degrees
Sites, in units of the cell vectors:
Cd  0.500  0.000  0.000
Pa  0.500  0.500  0.500
Sb  0.000  0.500  0.000
Sb  0.000  0.000  0.500

---

# ThZrTe2

An optimized crystal structure of ThZrTe2 (GGA-PBE, the Alexandria database).

## Properties
E_tot: -6.0506 eV/atom
ΔE_f (raw): -0.4877 eV/atom
distance to the lowest polymorph of the same formula: 413 meV/atom

Cell lengths 3.795, 3.795, 10.395 Å; angles 79.48, 79.48, 60.00 degrees
Last column: magnetic moment on the atom in μB.
Sites, in units of the cell vectors:
Zr  0.500  0.500  0.500  0.05
Te  0.896  0.896  0.312  0.00
Th  0.000  0.000  0.000  0.36
Te  0.104  0.104  0.688  0.00

---

# YBe2Ni

An optimized crystal structure of YBe2Ni (GGA-PBE, the Alexandria database).

## Properties
E_tot: -5.1831 eV/atom
distance to the lowest polymorph of the same formula: 16 meV/atom
energy of formation: -0.259 eV/atom

Cell lengths 3.796, 3.796, 5.269 Å; angles 68.79, 68.79, 59.96 degrees
Sites, in units of the cell vectors:
Ni  0.438  0.438  0.687
Be  0.059  0.059  0.821
Be  0.754  0.754  0.737
Y  0.249  0.249  0.255

---

# VTcBi2

An optimized crystal structure of VTcBi2 (GGA-PBE, the Alexandria database).

## Properties
E_tot: -6.3068 eV/atom
distance to the lowest polymorph of the same formula: 0 meV/atom
energy of formation: 0.505 eV/atom

Cell lengths 4.861, 4.861, 4.861 Å; angles 60.00, 60.00, 60.00 degrees
Last column: magnetic moment on the atom in μB.
Sites, in units of the cell vectors:
Bi  0.250  0.250  0.250  -0.04
Tc  0.500  0.500  0.500  0.09
Bi  0.750  0.750  0.750  -0.04
V  0.000  0.000  0.000  2.35

---

# ScTlRu2

An optimized crystal structure of ScTlRu2 (GGA-PBE, the Alexandria database).

## Properties
E_tot: -6.7480 eV/atom
energy of formation: 0.064 eV/atom

Cell lengths 4.016, 3.034, 6.497 Å; angles 62.15, 90.00, 90.00 degrees
Sites, in units of the cell vectors:
Sc  0.000  0.533  0.466
Tl  0.500  0.737  0.763
Ru  0.500  0.258  0.242
Ru  0.000  0.972  0.029

---

# LiHPb2Au

An optimized crystal structure of LiHPb2Au (GGA-PBE, the Alexandria database).

## Properties
E_tot: -3.2303 eV/atom

Cell lengths 5.075, 5.075, 3.793 Å; angles 90.00, 90.00, 90.00 degrees
Sites, in units of the cell vectors:
Pb  0.000  0.500  0.000
Pb  0.500  0.000  0.000
Au  0.500  0.500  0.500
Li  0.000  0.000  0.500
H  0.000  0.000  0.000

---

# LaMgAs2

An optimized crystal structure of LaMgAs2 (GGA-PBE, the Alexandria database).

## Properties
E_tot: -4.8207 eV/atom
energy of formation: -0.865 eV/atom

Cell lengths 4.395, 4.395, 6.502 Å; angles 70.03, 70.03, 60.09 degrees
Sites, in units of the cell vectors:
La  0.750  0.750  0.750
Mg  0.250  0.250  0.250
As  0.510  0.510  0.471
As  0.990  0.990  0.029

---

# BaPPtRh

An optimized crystal structure of BaPPtRh (GGA-PBE, the Alexandria database).

## Properties
E_tot: -5.9521 eV/atom
energy of formation: -0.771 eV/atom

Cell lengths 3.933, 3.933, 11.543 Å; angles 90.00, 90.00, 90.00 degrees
Sites, in units of the cell vectors:
P  0.750  0.750  0.887
Pt  0.750  0.250  0.500
Pt  0.250  0.750  0.500
Ba  0.750  0.750  0.278
Rh  0.250  0.750  0.000
Rh  0.750  0.250  0.000
P  0.250  0.250  0.113
Ba  0.250  0.250  0.722

---

# Ti2AlPd

An optimized crystal structure of Ti2AlPd (GGA-PBE, the Alexandria database).

## Properties
E_tot: -6.1481 eV/atom
energy of formation: 0.033 eV/atom

Cell lengths 2.830, 2.830, 10.004 Å; angles 81.87, 81.87, 60.00 degrees
Sites, in units of the cell vectors:
Al  0.000  0.000  0.000
Ti  0.091  0.091  0.727
Ti  0.909  0.909  0.273
Pd  0.500  0.500  0.500

---

# NdInTe4

An optimized crystal structure of NdInTe4 (GGA-PBE, the Alexandria database).

## Properties
E_tot: -3.9587 eV/atom
ΔE_f (raw): -0.6132 eV/atom

Cell lengths 6.334, 8.127, 10.073 Å; angles 90.00, 90.00, 115.30 degrees
Sites, in units of the cell vectors:
Te  0.308  0.142  0.750
Nd  0.893  0.289  0.250
Te  0.107  0.385  0.947
Te  0.644  0.799  0.750
Te  0.107  0.385  0.553
Te  0.893  0.615  0.053
Te  0.692  0.858  0.250
Te  0.356  0.201  0.250
Nd  0.107  0.711  0.750
Te  0.893  0.615  0.447
In  0.759  0.168  0.750
In  0.241  0.832  0.250

---

# HgPd4O8

An optimized crystal structure of HgPd4O8 (GGA-PBE, the Alexandria database).

## Properties
E_tot: -4.9704 eV/atom
ΔE_f (raw): -0.2981 eV/atom

Cell lengths 6.375, 6.375, 6.375 Å; angles 60.00, 60.00, 60.00 degrees
Sites, in units of the cell vectors:
Hg  0.750  0.750  0.750
Pd  0.373  0.373  0.881
O  0.604  0.189  0.604
Pd  0.881  0.373  0.373
O  0.565  0.145  0.145
Pd  0.373  0.373  0.373
O  0.604  0.604  0.189
Pd  0.373  0.881  0.373
O  0.145  0.145  0.145
O  0.145  0.565  0.145
O  0.145  0.145  0.565
O  0.189  0.604  0.604
O  0.604  0.604  0.604

---

# ErFe5B2

An optimized crystal structure of ErFe5B2 (GGA-PBE, the Alexandria database).

## Properties
E_tot: -7.8211 eV/atom
energy of formation: -0.292 eV/atom

Cell lengths 3.249, 5.663, 5.663 Å; angles 70.81, 73.33, 73.33 degrees
Last column: magnetic moment on the atom in μB.
Sites, in units of the cell vectors:
B  0.752  0.748  0.748  -0.14
Er  0.000  0.000  0.000  -0.30
B  0.248  0.252  0.252  -0.14
Fe  0.660  0.153  0.526  1.98
Fe  0.660  0.526  0.153  1.98
Fe  0.340  0.847  0.474  1.98
Fe  0.000  0.500  0.500  1.99
Fe  0.340  0.474  0.847  1.98

---

# LiMg6Tl4

An optimized crystal structure of LiMg6Tl4 (GGA-PBE, the Alexandria database).

## Properties
E_tot: -1.9156 eV/atom
energy of formation: -0.011 eV/atom

Cell lengths 4.086, 8.870, 8.870 Å; angles 120.00, 90.00, 90.00 degrees
Sites, in units of the cell vectors:
Mg  0.500  0.201  0.799
Mg  0.500  0.201  0.402
Mg  0.000  0.533  0.467
Mg  0.000  0.933  0.467
Tl  0.000  0.333  0.667
Tl  0.500  0.828  0.656
Mg  0.500  0.598  0.799
Tl  0.500  0.828  0.172
Li  0.000  0.000  0.000
Tl  0.500  0.344  0.172
Mg  0.000  0.533  0.067

---

# HoTl2Bi

An optimized crystal structure of HoTl2Bi (GGA-PBE, the Alexandria database).

## Properties
E_tot: -3.1906 eV/atom
energy of formation: 0.107 eV/atom

Cell lengths 3.519, 3.519, 12.228 Å; angles 81.73, 81.73, 60.00 degrees
Sites, in units of the cell vectors:
Ho  0.000  0.000  0.000
Bi  0.500  0.500  0.500
Tl  0.088  0.088  0.737
Tl  0.912  0.912  0.263

---

# Tb2ScZn2Ga2

An optimized crystal structure of Tb2ScZn2Ga2 (GGA-PBE, the Alexandria database).

## Properties
E_tot: -3.8431 eV/atom
energy of formation: -0.387 eV/atom

Cell lengths 4.336, 4.336, 9.663 Å; angles 77.03, 77.03, 60.00 degrees
Sites, in units of the cell vectors:
Tb  0.878  0.878  0.367
Ga  0.728  0.728  0.817
Ga  0.272  0.272  0.183
Sc  0.000  0.000  0.000
Zn  0.385  0.385  0.846
Tb  0.122  0.122  0.633
Zn  0.615  0.615  0.154

---

# Cs2TiSi6O15

An optimized crystal structure of Cs2TiSi6O15 (GGA-PBE, the Alexandria database).

## Properties
E_tot: -7.6147 eV/atom
ΔE_f (raw): -2.7600 eV/atom
distance to the lowest polymorph of the same formula: 4 meV/atom

Cell lengths 7.794, 7.794, 15.352 Å; angles 74.57, 74.57, 57.68 degrees
Sites, in units of the cell vectors:
Ti  0.000  0.500  0.000
O  0.398  0.463  0.653
O  0.419  0.802  0.577
O  0.770  0.230  0.250
O  0.060  0.813  0.613
Si  0.825  0.853  0.640
O  0.812  0.678  0.724
O  0.802  0.419  0.077
O  0.816  0.642  0.904
O  0.680  0.080  0.674
Cs  0.355  0.878  0.096
O  0.813  0.060  0.113
Si  0.147  0.175  0.860
O  0.581  0.198  0.423
Si  0.286  0.719  0.853
Si  0.175  0.147  0.360
O  0.188  0.322  0.276
O  0.080  0.680  0.174
O  0.463  0.398  0.153
O  0.537  0.602  0.847
Si  0.571  0.768  0.329
O  0.758  0.845  0.552
O  0.242  0.155  0.448
O  0.358  0.184  0.596
Ti  0.500  0.000  0.500
O  0.320  0.920  0.326
Si  0.429  0.232  0.671
O  0.155  0.242  0.948
O  0.322  0.188  0.776
O  0.198  0.581  0.923
O  0.940  0.187  0.387
Si  0.281  0.714  0.647
O  0.230  0.770  0.750
Si  0.768  0.571  0.829
O  0.642  0.816  0.404
O  0.187  0.940  0.887
O  0.920  0.320  0.826
Si  0.232  0.429  0.171
O  0.678  0.812  0.224
O  0.602  0.537  0.347
O  0.184  0.358  0.096
O  0.845  0.758  0.052
Si  0.853  0.825  0.140
Si  0.714  0.281  0.147
Si  0.719  0.286  0.353
Cs  0.878  0.355  0.596
Cs  0.645  0.122  0.904
Cs  0.122  0.645  0.404

---

# YTlHg4

An optimized crystal structure of YTlHg4 (GGA-PBE, the Alexandria database).

## Properties
E_tot: -1.8604 eV/atom
distance to the lowest polymorph of the same formula: 0 meV/atom
energy of formation: -0.187 eV/atom

Cell lengths 9.782, 6.796, 11.162 Å; angles 120.24, 149.99, 71.32 degrees
Sites, in units of the cell vectors:
Hg  0.579  0.751  0.209
Tl  0.061  0.243  0.769
Hg  0.397  0.271  0.280
Hg  0.603  0.729  0.720
Hg  0.270  0.763  0.229
Hg  0.255  0.737  0.715
Tl  0.939  0.757  0.231
Hg  0.421  0.249  0.791
Y  0.066  0.238  0.271
Hg  0.745  0.263  0.285
Hg  0.730  0.237  0.771
Y  0.934  0.762  0.729

---

# MnCoMoRh

An optimized crystal structure of MnCoMoRh (GGA-PBE, the Alexandria database).

## Properties
E_tot: -8.5146 eV/atom
energy of formation: 0.100 eV/atom

Cell lengths 4.222, 4.222, 4.222 Å; angles 60.00, 60.00, 60.00 degrees
Last column: magnetic moment on the atom in μB.
Sites, in units of the cell vectors:
Co  0.750  0.750  0.750  0.83
Rh  0.500  0.500  0.500  0.32
Mn  0.250  0.250  0.250  2.72
Mo  0.000  0.000  0.000  -0.53

---

# RbEuCd2

An optimized crystal structure of RbEuCd2 (GGA-PBE, the Alexandria database).

## Properties
E_tot: -3.3942 eV/atom
distance to the lowest polymorph of the same formula: 0 meV/atom
energy of formation: -0.126 eV/atom

Cell lengths 4.117, 4.117, 8.789 Å; angles 90.00, 90.00, 90.00 degrees
Last column: magnetic moment on the atom in μB.
Sites, in units of the cell vectors:
Cd  0.000  0.000  0.195  0.03
Eu  0.500  0.500  0.000  6.93
Rb  0.500  0.500  0.500  0.01
Cd  0.000  0.000  0.805  0.03

---

# SiMo2Au

An optimized crystal structure of SiMo2Au (GGA-PBE, the Alexandria database).

## Properties
E_tot: -7.4689 eV/atom
ΔE_f (raw): 0.1217 eV/atom

Cell lengths 3.341, 3.341, 5.683 Å; angles 90.00, 90.00, 90.00 degrees
Sites, in units of the cell vectors:
Mo  0.000  0.000  0.025
Si  0.000  0.000  0.501
Au  0.500  0.500  0.732
Mo  0.500  0.500  0.241

---

# K2TlW

An optimized crystal structure of K2TlW (GGA-PBE, the Alexandria database).

## Properties
E_tot: -3.2810 eV/atom
distance to the lowest polymorph of the same formula: 118 meV/atom
energy of formation: 1.098 eV/atom

Cell lengths 12.677, 12.677, 12.677 Å; angles 14.59, 14.59, 14.59 degrees
Sites, in units of the cell vectors:
K  0.237  0.237  0.237
W  0.759  0.759  0.759
K  0.013  0.013  0.013
Tl  0.491  0.491  0.491

---

# MgRhS2N

An optimized crystal structure of MgRhS2N (GGA-PBE, the Alexandria database).

## Properties
E_tot: -4.0254 eV/atom
ΔE_f (raw): 1.0799 eV/atom
distance to the lowest polymorph of the same formula: 985 meV/atom

Cell lengths 4.694, 4.694, 3.796 Å; angles 90.00, 90.00, 90.00 degrees
Sites, in units of the cell vectors:
S  0.500  0.000  0.000
Rh  0.500  0.500  0.500
S  0.000  0.500  0.000
N  0.000  0.000  0.500
Mg  0.000  0.000  0.000

---

# CsS2Br2

An optimized crystal structure of CsS2Br2 (GGA-PBE, the Alexandria database).

## Properties
E_tot: -2.6644 eV/atom
ΔE_f (raw): -0.1736 eV/atom
distance to the lowest polymorph of the same formula: 345 meV/atom

Cell lengths 3.480, 3.480, 13.579 Å; angles 82.64, 82.64, 90.00 degrees
Sites, in units of the cell vectors:
Br  0.404  0.404  0.191
S  0.750  0.250  0.500
Cs  0.000  0.000  0.000
Br  0.596  0.596  0.809
S  0.250  0.750  0.500

---

# ScBeAl2

An optimized crystal structure of ScBeAl2 (GGA-PBE, the Alexandria database).

## Properties
E_tot: -4.4841 eV/atom
energy of formation: -0.098 eV/atom

Cell lengths 4.932, 4.932, 4.932 Å; angles 132.13, 132.16, 70.00 degrees
Sites, in units of the cell vectors:
Al  0.751  0.251  0.500
Sc  0.250  0.750  0.500
Be  0.500  0.500  0.000
Al  0.000  0.000  0.000

---

# Mn4Zn5Ga2

An optimized crystal structure of Mn4Zn5Ga2 (GGA-PBE, the Alexandria database).

## Properties
E_tot: -4.4448 eV/atom
energy of formation: 0.019 eV/atom

Cell lengths 2.730, 6.669, 8.619 Å; angles 94.95, 90.00, 90.00 degrees
Last column: magnetic moment on the atom in μB.
Sites, in units of the cell vectors:
Zn  0.000  0.449  0.695  -0.07
Zn  0.000  0.186  0.154  -0.07
Mn  0.500  0.279  0.442  2.98
Ga  0.000  0.933  0.359  -0.11
Ga  0.000  0.067  0.641  -0.11
Zn  0.000  0.814  0.846  -0.07
Zn  0.000  0.551  0.305  -0.07
Mn  0.500  0.721  0.558  2.98
Mn  0.500  0.165  0.890  2.90
Zn  0.000  0.500  0.000  -0.07
Mn  0.500  0.835  0.110  2.90

---

These records have V values of 24.827 31.677 14.927 20.300 17.500 19.537 25.009 22.317 17.115 39.068 14.094 11.512 25.307 32.321 21.712 15.643 25.740 13.303 37.236 15.862 28.148 16.729 32.344 16.168 14.212 Å³/atom, in the order they appear.